! LiErSc PBE relaxed; values from VASP
! Energy relative to the elements in meV per atom: 121
! Energy relative to the lowest polymorph listed for this composition in meV per atom: 53
&SYSTEM
  ibrav = 0, nat = 3, ntyp = 3
/
ATOMIC_SPECIES
Li 6.94 Li.upf
Er 167.26 Er.upf
Sc 44.96 Sc.upf
ATOMIC_POSITIONS angstrom
Li 0.000 0.000 0.000
Er 0.000 0.000 8.025
Sc 0.000 0.000 4.275
CELL_PARAMETERS angstrom
-1.749 1.749 6.006
1.749 -1.749 6.006
1.749 1.749 -6.006